Here is crystalline Pm2SiMoO6 at its relaxed geometry from Alexandria via LeMat-Bulk. Energies are from GGA+U.

Cell and atoms, written as extended XYZ:
```
10
Lattice="5.3614 0.0000 0.0000 0.0000 5.3614 0.0000 0.0000 0.0000 4.4379" Properties=species:S:1:pos:R:3 pbc="T T T"
Pm 0.0000 2.6807 0.0000
Pm 2.6807 0.0000 0.0000
Si 0.0000 0.0000 2.4783
Mo 2.6807 2.6807 2.5465
O 0.0000 0.0000 0.8174
O 1.1903 1.1903 2.9585
O 1.1903 4.1711 2.9585
O 2.6807 2.6807 0.3112
O 4.1711 1.1903 2.9585
O 4.1711 4.1711 2.9585
```

## Properties
Its space-group type is P4mm (99). For the calculated total energy, the calculation gives -7.678 eV/atom.